First-principles (PBE) data for an optimized crystal structure of LuScSn2, as listed in the Alexandria database.

offset from the most stable computed form = 0.26 eV/f.u.
space-group type = No. 166
crystal system = trigonal

a = 9.174 Å, b = 9.174 Å, c = 9.174 Å
α = 22.85°, β = 22.85°, γ = 22.85°
Fractional coordinates of all 4 atoms:
Lu (0.000, 0.000, 0.000)
Sc (0.500, 0.500, 0.500)
Sn (0.247, 0.247, 0.247)
Sn (0.753, 0.753, 0.753)

***

First-principles (PBE) data for an optimized crystal structure of Pa2Be3ZnPt4, as listed in the Alexandria database.

space-group type = No. 115
crystal system = tetragonal

a = 3.973 Å, b = 3.973 Å, c = 10.256 Å
α = 90.00°, β = 90.00°, γ = 90.00°
Fractional coordinates of all 10 atoms:
Pa (0.000, 0.500, 0.245)
Pa (0.500, 0.000, 0.755)
Be (0.000, 0.500, 0.881)
Be (0.500, 0.000, 0.119)
Be (0.500, 0.500, 0.500)
Zn (0.000, 0.000, 0.500)
Pt (0.000, 0.000, 0.000)
Pt (0.000, 0.500, 0.655)
Pt (0.500, 0.000, 0.345)
Pt (0.500, 0.500, 0.000)

***

First-principles (PBE) data for an optimized crystal structure of ZrZn2In, as listed in the Alexandria database.

space-group type = No. 139
crystal system = tetragonal

a = 5.189 Å, b = 5.189 Å, c = 5.189 Å
α = 131.62°, β = 131.62°, γ = 70.82°
Fractional coordinates of all 4 atoms:
Zr (0.000, 0.000, 0.000)
Zn (0.250, 0.750, 0.500)
Zn (0.750, 0.250, 0.500)
In (0.500, 0.500, 0.000)

***

First-principles (PBE) data for an optimized crystal structure of Pr3TlGe2, as listed in the Alexandria database.

space-group type = No. 65
crystal system = orthorhombic

a = 8.641 Å, b = 8.641 Å, c = 4.841 Å
α = 90.00°, β = 90.00°, γ = 152.71°
Fractional coordinates of all 6 atoms:
Pr (0.000, 0.000, 0.000)
Pr (0.165, 0.835, 0.500)
Pr (0.835, 0.165, 0.500)
Tl (0.500, 0.500, 0.500)
Ge (0.307, 0.693, 0.000)
Ge (0.693, 0.307, 0.000)

***

First-principles (PBE) data for an optimized crystal structure of In2Co2Au, as listed in the Alexandria database.

offset from the most stable computed form = 0.00 eV/f.u.
space-group type = No. 127
crystal system = tetragonal

a = 6.683 Å, b = 6.683 Å, c = 3.759 Å
α = 90.00°, β = 90.00°, γ = 90.00°
Fractional coordinates of all 10 atoms:
In (0.172, 0.328, 0.000)
In (0.328, 0.828, 0.000)
In (0.672, 0.172, 0.000)
In (0.828, 0.672, 0.000)
Co (0.124, 0.624, 0.500)
Co (0.376, 0.124, 0.500)
Co (0.624, 0.876, 0.500)
Co (0.876, 0.376, 0.500)
Au (0.000, 0.000, 0.500)
Au (0.500, 0.500, 0.500)

***

First-principles (PBE) data for an optimized crystal structure of LaMoPt2, as listed in the Alexandria database.

offset from the most stable computed form = 2.75 eV/f.u.
space-group type = No. 160
crystal system = trigonal

a = 10.255 Å, b = 10.255 Å, c = 10.255 Å
α = 16.40°, β = 16.40°, γ = 16.40°
Fractional coordinates of all 4 atoms:
La (0.000, 0.000, 0.000)
Mo (0.764, 0.764, 0.764)
Pt (0.245, 0.245, 0.245)
Pt (0.500, 0.500, 0.500)

***

The records above give, respectively, E values of -20.7; -62.9; -14.2; -28.8; -45.0; -27.1 eV/cell.
The records above give, respectively, total magnetization values of 0.0; 1.2; 0.0; 0.0; 1.4; 0.6 μB/f.u..
The records above give, respectively, formation energy from the elements values of -461; -730; -87; -483; 98; 180 meV per atom.